# 1
Cs2UAu2S4: optimized geometry, GGA-PBE.

Output
- Symmetry: No. 12
- Calculated total energy: -4.90 eV per atom
- DOS at the Fermi energy: 5.13 states/eV/cell

extended XYZ file:
```
9
Lattice="-3.497 -0.557 1.671 0.156 -7.910 -2.308 5.358 1.028 6.968" Properties=species:S:1:pos:R:3 pbc="T T T"
Cs 0.998 -4.332 0.645
Cs 1.020 -3.107 5.686
S 1.201 -1.204 2.113
S 0.816 -6.235 4.219
S 3.550 -0.964 7.108
S -1.533 -6.475 -0.777
Au 2.244 -7.042 2.350
Au -0.226 -0.397 3.982
U 0.000 0.000 0.000
```

# 2
CdTc2C: optimized geometry, GGA-PBE.

Output
- Formation energy from the elements: 4.0 eV per formula unit
- Symmetry: No. 122
- Calculated total energy: -6.72 eV per atom
- DOS at the Fermi energy: 6.40 states/eV/cell
- Excess energy over the best structure of this formula in the dataset: 0 meV/atom

extended XYZ file:
```
8
Lattice="5.277 0.000 0.000 0.000 5.277 0.000 2.638 2.638 5.286" Properties=species:S:1:pos:R:3 pbc="T T T"
Tc 6.596 5.779 3.964
Tc 2.136 3.957 1.321
Tc 3.957 4.774 3.964
Tc 3.140 1.319 1.321
C 2.638 5.277 2.643
C 2.638 2.638 0.000
Cd 0.000 0.000 0.000
Cd 5.277 2.638 2.643
```

# 3
Er2BeZn12Cu3: optimized geometry, GGA-PBE.

Output
- Formation energy from the elements: 0.3 eV per formula unit
- Symmetry: No. 166
- Calculated total energy: -2.23 eV per atom
- DOS at the Fermi energy: 10.34 states/eV/cell

extended XYZ file:
```
18
Lattice="10.838 3.024 2.145 7.981 7.930 2.145 7.981 4.646 6.776" Properties=species:S:1:pos:R:3 pbc="T T T"
Er 17.166 9.992 7.087
Er 9.634 5.608 3.977
Zn 7.031 5.742 2.325
Zn 14.426 8.397 7.549
Zn 7.031 4.093 4.651
Zn 18.335 12.322 8.740
Zn 19.769 11.507 6.414
Zn 19.769 9.858 8.740
Zn 15.733 7.655 5.430
Zn 12.374 5.700 5.635
Zn 11.067 7.945 5.635
Zn 14.426 9.900 5.430
Zn 12.374 7.203 3.516
Zn 8.466 3.278 2.325
Cu 3.991 2.323 3.388
Cu 5.419 1.512 1.072
Cu 3.991 3.965 1.072
Be 0.000 0.000 0.000
```

# 4
Pa12Si6Os: optimized geometry, GGA-PBE.

Output
- Symmetry: No. 148
- Calculated total energy: -8.50 eV per atom
- DOS at the Fermi energy: 35.38 states/eV/cell

extended XYZ file:
```
19
Lattice="-1.329 -7.079 -1.489 1.858 -1.836 6.875 -6.986 0.818 2.149" Properties=species:S:1:pos:R:3 pbc="T T T"
Pa -3.018 -6.305 3.230
Pa -3.808 -4.097 1.513
Pa -3.986 -7.754 5.742
Pa -2.649 -4.000 6.023
Pa -2.471 -0.344 1.794
Pa -1.477 -2.692 0.123
Pa -0.920 -4.352 3.713
Pa -6.595 -6.356 5.007
Pa 0.138 -1.741 2.529
Pa -5.537 -3.745 3.823
Pa -4.981 -5.405 7.413
Pa -3.439 -1.792 4.306
Si -0.469 -1.921 5.542
Si -5.988 -6.176 1.994
Si -5.384 -1.327 1.969
Si -5.184 -2.409 6.731
Si -1.073 -6.771 5.567
Si -1.273 -5.688 0.805
Os 0.000 0.000 0.000
```

# 5
MgZn4Cd: optimized geometry, GGA-PBE.

Output
- Formation energy from the elements: -0.2 eV per formula unit
- Symmetry: No. 216
- Calculated total energy: -1.30 eV per atom
- DOS at the Fermi energy: 2.28 states/eV/cell

extended XYZ file:
```
6
Lattice="-0.855 1.442 -4.971 -4.909 0.580 -1.755 -1.859 4.790 -1.059" Properties=species:S:1:pos:R:3 pbc="T T T"
Cd -1.906 1.703 -1.946
Mg 0.000 0.000 0.000
Zn -4.768 4.260 -4.870
Zn -2.304 3.970 -3.989
Zn -4.339 3.537 -2.375
Zn -3.835 1.856 -4.338
```

# 6
PrEuGdSc: optimized geometry, GGA-PBE.

Output
- Formation energy from the elements: 0.6 eV per formula unit
- Symmetry: No. 216
- Calculated total energy: -8.71 eV per atom
- DOS at the Fermi energy: 6.76 states/eV/cell

extended XYZ file:
```
4
Lattice="-4.066 -2.003 -3.454 -3.239 -4.386 1.656 -5.490 0.835 1.277" Properties=species:S:1:pos:R:3 pbc="T T T"
Sc -3.199 -1.389 -0.130
Pr 0.000 0.000 0.000
Gd -9.596 -4.166 -0.391
Eu -6.398 -2.777 -0.261
```

# 7
NaNiSnRh: optimized geometry, GGA-PBE.

Output
- Formation energy from the elements: -0.2 eV per formula unit
- Symmetry: No. 216
- Calculated total energy: -4.68 eV per atom
- DOS at the Fermi energy: 2.44 states/eV/cell

extended XYZ file:
```
4
Lattice="4.492 0.000 0.000 2.246 3.890 0.000 2.246 1.297 3.667" Properties=species:S:1:pos:R:3 pbc="T T T"
Rh 6.737 3.890 2.751
Sn 4.492 2.593 1.834
Ni 2.246 1.297 0.917
Na 0.000 0.000 0.000
```

# 8
La2ErGa3: optimized geometry, GGA-PBE.

Output
- Formation energy from the elements: -2.1 eV per formula unit
- Symmetry: No. 71
- Calculated total energy: -4.27 eV per atom
- DOS at the Fermi energy: 8.11 states/eV/cell

extended XYZ file:
```
6
Lattice="5.029 0.000 0.000 0.000 6.030 0.000 -2.514 -3.015 5.615" Properties=species:S:1:pos:R:3 pbc="T T T"
Er 0.000 3.015 0.000
La 0.000 3.015 3.611
La 2.514 0.000 2.003
Ga 0.000 0.000 0.000
Ga 0.000 0.000 4.210
Ga 2.514 3.015 1.405
```

# 9
Nd4Dy3TmSe8: optimized geometry, GGA-PBE.

Output
- Symmetry: No. 166
- Calculated total energy: -5.86 eV per atom
- DOS at the Fermi energy: 8.90 states/eV/cell

extended XYZ file:
```
16
Lattice="-4.426 -3.844 -5.730 -0.982 -6.554 5.156 -2.206 7.470 2.557" Properties=species:S:1:pos:R:3 pbc="T T T"
Nd 0.000 0.000 0.000
Nd -3.316 1.813 -1.587
Nd -2.213 -1.922 -2.865
Nd -1.103 3.735 1.278
Dy -1.594 0.458 3.856
Dy -3.807 -1.464 0.991
Dy -2.704 -5.199 -0.287
Se -6.210 -0.279 2.026
Se -4.747 -0.820 -1.647
Se -1.404 -2.649 -0.044
Se -2.516 1.092 1.211
Se -3.638 -4.588 -2.935
Se -2.867 -2.108 3.629
Se -3.977 1.660 4.917
Se -5.099 -4.020 0.771
Tm -0.491 -3.277 2.578
```

# 10
LaTb4Al4: optimized geometry, GGA-PBE.

Output
- Formation energy from the elements: -1.5 eV per formula unit
- Symmetry: No. 87
- Calculated total energy: -4.44 eV per atom
- DOS at the Fermi energy: 16.35 states/eV/cell

extended XYZ file:
```
18
Lattice="-3.111 2.941 3.044 -6.096 1.317 -7.504 -4.965 -7.977 2.633" Properties=species:S:1:pos:R:3 pbc="T T T"
Al -3.043 1.084 0.379
Al -7.154 -0.002 1.751
Al -8.066 1.248 -4.922
Al -10.127 -0.778 -0.538
Al -5.947 -4.868 -1.373
Al -5.116 -1.790 -3.497
Al -6.103 -4.968 3.092
Al -11.131 -4.800 -2.204
La -7.086 -1.859 -0.914
La 0.000 0.000 0.000
Tb -8.397 -6.276 -2.515
Tb -5.990 1.081 -2.631
Tb -4.420 -1.479 1.440
Tb -2.666 -0.381 -2.354
Tb -9.750 -2.242 -3.270
Tb -8.185 -4.797 0.806
Tb -6.977 -2.098 3.957
Tb -10.303 1.318 -2.744
```

# 11
CeGeSe4: optimized geometry, GGA-PBE.

Output
- Symmetry: No. 141
- Calculated total energy: -4.92 eV per atom
- DOS at the Fermi energy: 2.50 states/eV/cell

extended XYZ file:
```
12
Lattice="6.885 0.669 -3.568 -0.951 -6.087 4.756 -5.249 -0.904 -5.675" Properties=species:S:1:pos:R:3 pbc="T T T"
Se 5.016 -4.348 -0.758
Se 3.219 -2.542 -2.378
Se -3.063 -3.298 -2.215
Se 1.273 -5.158 0.357
Se -2.888 -0.730 -5.262
Se -0.060 -1.646 -4.738
Se -0.836 -5.166 -3.029
Se 0.078 -2.401 0.075
Ce 2.967 -2.709 0.594
Ce -1.616 -4.850 -0.162
Ge 0.000 0.000 0.000
Ge 2.301 -1.472 -4.324
```

# 12
Ac12GaSn7: optimized geometry, GGA-PBE.

Output
- Formation energy from the elements: -9.4 eV per formula unit
- Symmetry: No. 148
- Calculated total energy: -4.49 eV per atom
- DOS at the Fermi energy: 19.88 states/eV/cell

extended XYZ file:
```
20
Lattice="9.966 -0.320 -0.480 -3.079 9.484 -0.480 -3.079 -4.096 8.568" Properties=species:S:1:pos:R:3 pbc="T T T"
Sn -3.815 1.827 8.196
Sn 1.905 2.534 3.804
Sn 7.624 3.241 -0.588
Sn 7.650 -1.757 4.843
Sn -3.841 6.826 2.765
Sn 2.816 8.779 0.244
Sn 0.993 -3.711 7.364
Ac 1.132 2.864 0.024
Ac -1.353 0.787 2.653
Ac 2.677 2.204 7.584
Ac -1.232 4.871 2.967
Ac 5.163 4.282 4.955
Ac 5.041 0.197 4.640
Ac 1.171 -0.944 5.638
Ac 5.022 2.672 1.301
Ac 2.437 -0.703 1.748
Ac 1.373 5.772 5.860
Ac 2.639 6.012 1.969
Ac -1.212 2.396 6.307
Ga 0.000 0.000 0.000
```

# 13
BaAgP2S8: optimized geometry, GGA-PBE.

Output
- Symmetry: No. 147
- Calculated total energy: -4.42 eV per atom
- DOS at the Fermi energy: 9.92 states/eV/cell

extended XYZ file:
```
12
Lattice="-0.284 1.338 5.757 0.957 -5.588 -1.695 9.023 1.517 0.093" Properties=species:S:1:pos:R:3 pbc="T T T"
S 3.104 -0.972 1.389
S 6.189 0.485 5.224
S 3.506 -3.218 -1.069
S 9.284 -1.810 0.879
S 6.058 1.466 2.019
S 6.592 -1.761 2.765
S 3.638 -4.199 2.136
S 0.412 -0.923 3.276
P 7.283 -2.146 0.858
P 2.413 -0.587 3.296
Ba 0.000 0.000 0.000
Ag 4.512 0.758 0.046
```

# 14
Ca4Pd3: optimized geometry, GGA-PBE.

Output
- Formation energy from the elements: -4.1 eV per formula unit
- Symmetry: No. 12
- Calculated total energy: -3.96 eV per atom
- DOS at the Fermi energy: 3.45 states/eV/cell
- Excess energy over the best structure of this formula in the dataset: 25 meV/atom

extended XYZ file:
```
7
Lattice="4.690 0.000 0.000 0.000 6.055 -0.122 -2.345 -1.998 6.554" Properties=species:S:1:pos:R:3 pbc="T T T"
Ca 0.000 2.656 5.356
Ca 2.345 -0.069 4.375
Ca 2.345 1.401 1.075
Ca 0.000 4.126 2.057
Pd 0.000 1.081 2.786
Pd 0.000 0.000 0.000
Pd 2.345 2.976 3.645
```

# 15
SnPd3Pb2: optimized geometry, GGA-PBE.

Output
- Formation energy from the elements: -1.6 eV per formula unit
- Symmetry: No. 15
- Calculated total energy: -4.77 eV per atom
- DOS at the Fermi energy: 6.02 states/eV/cell

extended XYZ file:
```
12
Lattice="-1.843 1.912 4.968 -5.609 -4.960 -0.173 5.810 -3.782 0.418" Properties=species:S:1:pos:R:3 pbc="T T T"
Pd 0.300 -3.345 4.580
Pd -2.699 0.105 3.452
Pd -2.512 -5.817 4.512
Pd -4.753 -3.153 1.343
Pd -1.942 -3.485 0.633
Pd 0.870 -1.013 0.700
Sn -5.640 -2.234 3.732
Sn -1.812 -0.814 1.063
Pb -2.029 -6.244 1.663
Pb -2.425 -3.058 3.484
Pb 0.388 -0.586 3.549
Pb 0.783 -3.772 1.728
```

# 16
DyMgAl4: optimized geometry, GGA-PBE.

Output
- Formation energy from the elements: -1.5 eV per formula unit
- Symmetry: No. 216
- Calculated total energy: -3.78 eV per atom
- DOS at the Fermi energy: 3.04 states/eV/cell
- Excess energy over the best structure of this formula in the dataset: 17 meV/atom

extended XYZ file:
```
6
Lattice="5.504 0.000 0.000 2.752 4.766 0.000 2.752 1.589 4.494" Properties=species:S:1:pos:R:3 pbc="T T T"
Al 6.883 3.974 2.810
Al 5.504 3.178 0.557
Al 4.124 3.974 2.810
Al 5.504 1.585 2.810
Dy 0.000 0.000 0.000
Mg 2.752 1.589 1.123
```